(1)
This record from Alexandria describes a PBEsol-optimized structure of Sb2TeIBr. The functional is meta-GGA SCAN.

Calculated values
Energy relative to the elements, uncorrected (eV per atom): 0.618
Volume (Å³ per cell): 191.67
Total magnetization (Bohr magnetons per cell): 1.5

Cell lengths 5.7433, 5.7433, 5.8106 Å; angles 90.00, 90.00, 90.00 degrees
With the nearest neighbours (Å) after each atom.
Space group P4/mmm (No. 123)
Symmetry-distinct sites (fractional):
Sb1 0.0000 0.5000 0.0000 [2 per cell]  2 Te 2.87
Te1 0.0000 0.0000 0.0000 [1 per cell]  4 Sb 2.87, 2 I 2.91
I1 0.0000 0.0000 0.5000 [1 per cell]  2 Te 2.91
Br1 0.5000 0.5000 0.5000 [1 per cell]  4 I 4.06, 8 Sb 4.08

(2)
This record from Alexandria describes a PBEsol-optimized structure of CaSi3W. The functional is meta-GGA SCAN.

Calculated values
Energy relative to the elements, uncorrected (eV per atom): 0.201
Volume (Å³ per cell): 106.22
Total magnetization (Bohr magnetons per cell): 0.0

Cell lengths 4.7359, 4.7359, 4.7359 Å; angles 90.00, 90.00, 90.00 degrees
With the nearest neighbours (Å) after each atom.
Space group Pm-3m (No. 221)
Symmetry-distinct sites (fractional):
Ca1 0.0000 0.0000 0.0000 [1 per cell]  12 Si 3.35
Si1 0.0000 0.5000 0.5000 [3 per cell]  2 W 2.37
W1 0.5000 0.5000 0.5000 [1 per cell]  6 Si 2.37

(3)
This record from Alexandria describes a PBEsol-optimized structure of BaSrTl2. The functional is meta-GGA SCAN.

Calculated values
Volume (Å³ per cell): 138.21
Total magnetization (Bohr magnetons per cell): 0.0
ΔE_f (eV per atom): -0.58

Cell lengths 4.1117, 5.7281, 5.8683 Å; angles 90.00, 90.00, 90.00 degrees
With the nearest neighbours (Å) after each atom.
Space group Pmm2 (No. 25)
Symmetry-distinct sites (fractional):
Ba1 0.0000 0.0000 0.0000 [1 per cell]  8 Tl 3.53-3.64, 2 Sr 3.92
Sr1 0.0000 0.5000 0.5438 [1 per cell]  8 Tl 3.48-3.69
Tl1 0.5000 0.0000 0.4885 [1 per cell]  4 Ba 3.53-3.64, 4 Sr 3.54, 2 Tl 3.79
Tl2 0.5000 0.5000 0.0653 [1 per cell]  4 Sr 3.48-3.69, 4 Ba 3.55, 2 Tl 3.79

(4)
This record from Alexandria describes a PBEsol-optimized structure of LiFePO4. The functional is meta-GGA SCAN.

Calculated values
Energy relative to the elements, uncorrected (eV per atom): -2.214
E above lowest polymorph (kJ/mol of atoms): 3.3
Volume (Å³ per cell): 253.37
Total magnetization (Bohr magnetons per cell): 16.0

Cell lengths 5.5369, 5.7406, 7.9714 Å; angles 90.00, 90.00, 90.00 degrees
With the nearest neighbours (Å) after each atom.
Space group Imma (No. 74)
Symmetry-distinct sites (fractional):
Li1 0.0000 0.0000 0.0000 [4 per cell]  6 O 2.07-2.13
Fe1 0.2500 0.2500 0.2500 [4 per cell]  6 O 2.05-2.12
P1 0.0000 0.2500 0.6181 [4 per cell]  4 O 1.56
O1 0.0000 0.0299 0.7339 [8 per cell]  1 P 1.56
O2 0.2305 0.2500 0.5065 [8 per cell]  1 P 1.56

(5)
This record from Alexandria describes a PBEsol-optimized structure of Zr2InFe. The functional is meta-GGA SCAN.

Calculated values
Volume (Å³ per cell): 73.43
Total magnetization (Bohr magnetons per cell): 0.0
ΔE_f (eV per atom): -0.23

Cell lengths 3.0650, 3.0462, 7.8722 Å; angles 90.00, 92.49, 90.00 degrees
With the nearest neighbours (Å) after each atom.
Space group P2/m (No. 10)
Symmetry-distinct sites (fractional):
Zr1 0.0317 0.0000 0.2957 [2 per cell]  4 Fe 2.60-2.79
In1 0.5000 0.5000 0.0000 [1 per cell]  4 In 3.05-3.07, 8 Zr 3.17-3.18
Fe1 0.5000 0.5000 0.5000 [1 per cell]  8 Zr 2.60-2.79

(6)
This record from Alexandria describes a PBEsol-optimized structure of SbHSeN2. The functional is meta-GGA SCAN.

Calculated values
Total DFT energy (no corrections) (eV per atom): -14.1293
Volume (Å³ per cell): 86.87
Total magnetization (Bohr magnetons per cell): 2.1

Cell lengths 3.9438, 3.9438, 5.5851 Å; angles 90.00, 90.00, 90.00 degrees
With the nearest neighbours (Å) after each atom.
Space group P4/mmm (No. 123)
Symmetry-distinct sites (fractional):
Sb1 0.0000 0.0000 0.0000 [1 per cell]  4 N 1.97
H1 0.5000 0.5000 0.5000 [1 per cell]  4 Se 2.79
Se1 0.0000 0.0000 0.5000 [1 per cell]  4 H 2.79, 2 Sb 2.79
N1 0.0000 0.5000 0.0000 [2 per cell]  2 Sb 1.97

(7)
This record from Alexandria describes a PBEsol-optimized structure of ZnIrAu2. The functional is meta-GGA SCAN.

Calculated values
Volume (Å³ per cell): 61.41
Total magnetization (Bohr magnetons per cell): 0.0
ΔE_f (eV per atom): 0.10

Cell lengths 3.0600, 4.4290, 4.5315 Å; angles 90.00, 90.00, 90.00 degrees
With the nearest neighbours (Å) after each atom.
Space group Pmmm (No. 47)
Symmetry-distinct sites (fractional):
Zn1 0.0000 0.0000 0.0000 [1 per cell]  4 Ir 2.69, 4 Au 2.73
Ir1 0.5000 0.5000 0.0000 [1 per cell]  4 Zn 2.69, 4 Au 2.73
Au1 0.0000 0.5000 0.5000 [1 per cell]  4 Au 2.69, 4 Ir 2.73
Au2 0.5000 0.0000 0.5000 [1 per cell]  4 Au 2.69, 4 Zn 2.73

(8)
This record from Alexandria describes a PBEsol-optimized structure of YRe2Pt. The functional is meta-GGA SCAN.

Calculated values
E above lowest polymorph (kJ/mol of atoms): 0.0
Volume (Å³ per cell): 67.92
Total magnetization (Bohr magnetons per cell): 0.0
ΔE_f (eV per atom): -0.12

Cell lengths 2.8643, 4.4459, 5.4261 Å; angles 90.00, 100.57, 90.00 degrees
With the nearest neighbours (Å) after each atom.
Space group Pm (No. 6)
Symmetry-distinct sites (fractional):
Y1 0.0000 0.0000 0.0000 [1 per cell]  2 Re 2.70-2.98, 4 Pt 2.84-2.85, 2 Y 2.86
Re1 0.2622 0.5000 0.6412 [1 per cell]  4 Re 2.59-2.86, 2 Pt 2.71-2.83
Re2 0.6082 0.0000 0.5084 [1 per cell]  4 Re 2.59-2.86, 1 Y 2.70, 2 Pt 2.78
Pt1 0.5679 0.5000 0.1966 [1 per cell]  5 Re 2.71-2.98, 4 Y 2.84-2.85, 2 Pt 2.86

Which value of volume does entry 1 give? 191.67 Å³ per cell

Please write out number 5 again, unchanged.
This record from Alexandria describes a PBEsol-optimized structure of Zr2InFe. The functional is meta-GGA SCAN.

Calculated values
Volume (Å³ per cell): 73.43
Total magnetization (Bohr magnetons per cell): 0.0
ΔE_f (eV per atom): -0.23

Cell lengths 3.0650, 3.0462, 7.8722 Å; angles 90.00, 92.49, 90.00 degrees
With the nearest neighbours (Å) after each atom.
Space group P2/m (No. 10)
Symmetry-distinct sites (fractional):
Zr1 0.0317 0.0000 0.2957 [2 per cell]  4 Fe 2.60-2.79
In1 0.5000 0.5000 0.0000 [1 per cell]  4 In 3.05-3.07, 8 Zr 3.17-3.18
Fe1 0.5000 0.5000 0.5000 [1 per cell]  8 Zr 2.60-2.79